1.
LiAsAu2: relaxed, PBE-GGA.

a = 4.2690 Å, b = 2.9406 Å, c = 5.7773 Å
α = 75.17°, β = 90.00°, γ = 90.00°
Last column: nearest neighbours and their distance in Å.
Fractional coordinates of all 4 atoms:
As 0.5000 0.9473 0.7279  3 Au 2.62, 4 Li 2.86
Au 0.0000 0.8096 0.0012  2 As 2.62, 1 Li 2.85
Au 0.5000 0.1853 0.2588  1 As 2.62
Li 0.0000 0.5578 0.5121  7 Au 2.85-3.11, 4 As 2.86, 2 Li 2.94

Properties
The size of the total moment comes out at 0.00 Bohr magnetons per cell. Its calculated volume is 70 Å³/f.u. Its space group is Pm, No. 6. Its total energy is -3.509 eV/atom.

=====

2.
Li8As2Au: relaxed, PBE-GGA.

a = 4.3725 Å, b = 6.2937 Å, c = 7.4143 Å
α = 115.12°, β = 107.15°, γ = 90.00°
Last column: nearest neighbours and their distance in Å.
Fractional coordinates of all 11 atoms:
Li 0.3394 0.5641 0.6787  3 As 2.61-2.67, 4 Li 2.62-2.83, 1 Au 2.68
Li 0.6609 0.8855 0.3218  3 As 2.62-2.66, 4 Li 2.63-2.83, 1 Au 2.68
Li 0.8350 0.8342 0.6699  8 Li 2.62-2.79
Li 0.9998 0.2859 0.9996  2 As 2.65, 3 Li 2.69-2.76, 2 Au 2.83
Li 0.1650 0.1658 0.3301  8 Li 2.62-2.79
Li 0.3391 0.1145 0.6782  3 As 2.62-2.66, 4 Li 2.63-2.83, 1 Au 2.68
Li 0.6606 0.4359 0.3213  3 As 2.61-2.67, 4 Li 2.62-2.83, 1 Au 2.68
Li 0.0002 0.7141 0.0004  2 As 2.65, 3 Li 2.69-2.76, 2 Au 2.83
As 0.8202 0.3205 0.6405  8 Li 2.61-2.67
As 0.1798 0.6795 0.3595  8 Li 2.61-2.67
Au 0.5000 0.0000 0.0000  8 Li 2.68-2.83

Properties
The size of the total moment comes out at 0.00 Bohr magnetons per cell. Its calculated volume is 175 Å³/f.u. Its space group is Immm, No. 71. Its total energy is -3.127 eV/atom.

=====

3.
LiAsAu3: relaxed, PBE-GGA.

a = 4.9867 Å, b = 4.9867 Å, c = 4.9867 Å
α = 90.00°, β = 90.00°, γ = 90.00°
Last column: nearest neighbours and their distance in Å.
Fractional coordinates of all 5 atoms:
As 0.0000 0.0000 0.0000  6 Au 2.49
Au 0.0000 0.5000 0.0000  2 As 2.49
Au 0.0000 0.0000 0.5000  2 As 2.49
Au 0.5000 0.0000 0.0000  2 As 2.49
Li 0.5000 0.5000 0.5000  12 Au 3.53

Properties
The size of the total moment comes out at 0.00 Bohr magnetons per cell. The offset from the most stable computed form comes out at 0.000 eV per atom. Its calculated volume is 124 Å³/f.u. Its space group is Pm-3m, No. 221.

=====

4.
LiAsAu2: relaxed, PBE-GGA.

a = 4.4562 Å, b = 2.8553 Å, c = 5.6783 Å
α = 90.35°, β = 90.00°, γ = 90.00°
Last column: nearest neighbours and their distance in Å.
Fractional coordinates of all 4 atoms:
As 0.5000 0.7500 0.7500  4 Au 2.68, 2 As 2.86
Au 0.0000 0.7518 0.0122  2 As 2.68, 4 Au 2.70-2.98, 4 Li 2.96-2.98
Au 0.0000 0.7482 0.4878  2 As 2.68, 4 Au 2.70-2.98, 4 Li 2.96-2.98
Li 0.5000 0.2500 0.2500  2 Li 2.86, 8 Au 2.96-2.98, 4 As 3.17-3.19

Properties
The size of the total moment comes out at 0.00 Bohr magnetons per cell. Its calculated volume is 72 Å³/f.u. Its space group is P2/m, No. 10. Its total energy is -3.519 eV/atom.

=====

5.
Li3AsAu2: relaxed, PBE-GGA.

a = 3.6147 Å, b = 4.1002 Å, c = 12.5094 Å
α = 90.00°, β = 90.00°, γ = 90.00°
Last column: nearest neighbours and their distance in Å.
Fractional coordinates of all 12 atoms:
Li 0.5001 0.5000 0.6613  2 As 2.71, 6 Au 2.73-2.80, 4 Li 2.88-3.02
Li 0.5002 0.0000 0.5000  4 As 2.73, 4 Au 2.77, 4 Li 2.88
Li 0.5001 0.5000 0.3387  2 As 2.71, 6 Au 2.73-2.80, 4 Li 2.88-3.02
Li 0.4999 0.0000 0.1613  2 As 2.71, 6 Au 2.73-2.80, 4 Li 2.88-3.02
Li 0.4998 0.5000 0.0000  4 As 2.73, 4 Au 2.77, 4 Li 2.88
Li 0.4999 0.0000 0.8387  2 As 2.71, 6 Au 2.73-2.80, 4 Li 2.88-3.02
As 0.0001 0.5000 0.5000  8 Li 2.71-2.73, 4 Au 2.94
As 0.9999 0.0000 0.0000  8 Li 2.71-2.73, 4 Au 2.94
Au 0.0001 0.0000 0.6681  8 Li 2.73-2.80, 2 Au 2.90, 2 As 2.94
Au 0.0001 0.0000 0.3319  8 Li 2.73-2.80, 2 Au 2.90, 2 As 2.94
Au 0.9999 0.5000 0.1681  8 Li 2.73-2.80, 2 Au 2.90, 2 As 2.94
Au 0.9999 0.5000 0.8319  8 Li 2.73-2.80, 2 Au 2.90, 2 As 2.94

Properties
The size of the total moment comes out at 0.00 Bohr magnetons per cell. Its calculated volume is 93 Å³/f.u. Its space group is Cmmm, No. 65. Its total energy is -3.318 eV/atom.

=====

6.
LiAsAu2: relaxed, PBE-GGA.

a = 9.1707 Å, b = 9.1707 Å, c = 9.1707 Å
α = 18.82°, β = 18.82°, γ = 18.82°
Last column: nearest neighbours and their distance in Å.
Fractional coordinates of all 4 atoms:
As 0.7500 0.7500 0.7500  6 Au 2.94, 6 As 3.00
Au 0.9955 0.9955 0.9955  3 Li 2.74, 3 As 2.94, 6 Au 3.00
Au 0.5045 0.5045 0.5045  3 Li 2.74, 3 As 2.94, 6 Au 3.00
Li 0.2500 0.2500 0.2500  6 Au 2.74, 6 Li 3.00

Properties
The size of the total moment comes out at 0.00 Bohr magnetons per cell. Its calculated volume is 70 Å³/f.u. Its space group is R-3m, No. 166. Its total energy is -3.346 eV/atom.

=====

7.
Li2AsAu2: relaxed, PBE-GGA.

a = 7.4384 Å, b = 7.4384 Å, c = 2.9944 Å
α = 90.00°, β = 90.00°, γ = 90.00°
Last column: nearest neighbours and their distance in Å.
Fractional coordinates of all 10 atoms:
As 0.0000 0.0000 0.0000  4 Au 2.87, 2 As 2.99, 8 Li 3.18
As 0.5000 0.5000 0.0000  4 Au 2.87, 2 As 2.99, 8 Li 3.18
Au 0.3601 0.8601 0.0000  6 Li 2.60-2.68, 2 As 2.87
Au 0.8601 0.6399 0.0000  6 Li 2.60-2.68, 2 As 2.87
Au 0.6399 0.1399 0.0000  6 Li 2.60-2.68, 2 As 2.87
Au 0.1399 0.3601 0.0000  6 Li 2.60-2.68, 2 As 2.87
Li 0.1583 0.6583 0.5000  6 Au 2.60-2.68
Li 0.6583 0.8417 0.5000  6 Au 2.60-2.68
Li 0.8417 0.3417 0.5000  6 Au 2.60-2.68
Li 0.3417 0.1583 0.5000  6 Au 2.60-2.68

Properties
The size of the total moment comes out at 0.00 Bohr magnetons per cell. The offset from the most stable computed form comes out at 0.036 eV per atom. Its calculated volume is 83 Å³/f.u. Its space group is P4/mbm, No. 127.

=====

8.
Li4AsAu7: relaxed, PBE-GGA.

a = 4.9811 Å, b = 9.0497 Å, c = 5.7772 Å
α = 79.23°, β = 64.46°, γ = 74.03°
Last column: nearest neighbours and their distance in Å.
Fractional coordinates of all 12 atoms:
Li 0.6018 0.2278 0.5686  8 Au 2.68-2.96
Li 0.3982 0.7722 0.4314  8 Au 2.68-2.96
Li 0.8111 0.6346 0.7432  6 Au 2.66-2.97
Li 0.1889 0.3654 0.2568  6 Au 2.66-2.97
As 0.0000 0.0000 0.0000  4 Au 2.49-2.68
Au 0.7893 0.9160 0.5053  4 Li 2.66-2.83, 1 As 2.68, 4 Au 2.74-2.89
Au 0.2107 0.0840 0.4947  4 Li 2.66-2.83, 1 As 2.68, 4 Au 2.74-2.89
Au 0.0721 0.6825 0.1734  4 Au 2.74-2.98, 4 Li 2.76-2.97, 1 As 2.84
Au 0.9279 0.3175 0.8266  4 Au 2.74-2.98, 4 Li 2.76-2.97, 1 As 2.84
Au 0.3666 0.5038 0.7631  5 Li 2.68-2.79, 4 Au 2.74-2.98
Au 0.5000 0.0000 0.0000  2 As 2.49, 2 Au 2.74
Au 0.6334 0.4962 0.2369  5 Li 2.68-2.79, 4 Au 2.74-2.98

Properties
The size of the total moment comes out at 0.00 Bohr magnetons per cell. Its calculated volume is 225 Å³/f.u. Its space group is C2/m, No. 12. Its total energy is -3.202 eV/atom.